No. 1
Here is a relaxed Sc4CuAu crystal from the Alexandria database. Energies are from PBE.

As for the formation energy: -0.176 eV/atom. The polymorph energy (0 for the lowest one) is 0 meV per atom.

a = 4.598 Å, b = 4.599 Å, c = 6.522 Å
α = 90.00°, β = 89.99°, γ = 90.00°
Sites, in units of the cell vectors:
Sc 0.001 0.497 0.257
Sc 0.501 0.997 0.257
Sc 0.001 0.497 0.740
Sc 0.501 0.997 0.740
Au 0.501 0.497 0.998
Cu 0.001 0.998 0.498

---

No. 2
Here is a relaxed LiAgAs2O6 crystal from the Alexandria database. Energies are from PBE.

As for the raw formation energy: -1.162 eV/atom.

a = 5.353 Å, b = 7.539 Å, c = 7.539 Å
α = 90.22°, β = 77.14°, γ = 77.14°
Sites, in units of the cell vectors:
O 0.089 0.602 0.166
O 0.411 0.834 0.398
O 0.589 0.166 0.602
O 0.531 0.609 0.684
O 0.469 0.391 0.316
O 0.308 0.221 0.037
O 0.192 0.963 0.779
O 0.031 0.684 0.609
O 0.969 0.316 0.391
O 0.808 0.037 0.221
O 0.692 0.779 0.963
O 0.911 0.398 0.834
As 0.797 0.615 0.792
As 0.203 0.385 0.208
As 0.703 0.208 0.385
As 0.297 0.792 0.615
Li 0.250 0.221 0.779
Li 0.750 0.779 0.221
Ag 0.250 0.890 0.110
Ag 0.750 0.110 0.890

---

No. 3
Here is a relaxed LiSmHgSb crystal from the Alexandria database. Energies are from PBE.

As for the raw formation energy: -0.569 eV/atom.

a = 5.201 Å, b = 5.201 Å, c = 5.201 Å
α = 60.00°, β = 60.00°, γ = 60.00°
Sites, in units of the cell vectors:
Hg 0.000 0.000 0.000
Li 0.250 0.250 0.250
Sb 0.500 0.500 0.500
Sm 0.750 0.750 0.750

---

No. 4
Here is a relaxed ThAl3Pd crystal from the Alexandria database. Energies are from PBE.

As for the formation energy: -0.650 eV/atom. The polymorph energy (0 for the lowest one) is 48 meV per atom.

a = 4.285 Å, b = 8.442 Å, c = 10.955 Å
α = 90.00°, β = 90.00°, γ = 90.00°
Sites, in units of the cell vectors:
Al 0.250 0.359 0.280
Al 0.750 0.117 0.206
Al 0.250 0.063 0.411
Al 0.250 0.859 0.220
Al 0.750 0.617 0.294
Al 0.250 0.383 0.706
Al 0.750 0.437 0.911
Al 0.750 0.641 0.720
Al 0.750 0.141 0.780
Al 0.250 0.883 0.794
Al 0.250 0.563 0.089
Al 0.750 0.937 0.589
Th 0.750 0.318 0.488
Th 0.250 0.682 0.512
Th 0.750 0.818 0.012
Th 0.250 0.182 0.988
Pd 0.250 0.099 0.645
Pd 0.250 0.599 0.855
Pd 0.750 0.901 0.355
Pd 0.750 0.401 0.145

---

No. 5
Here is a relaxed Ta6Fe5Rh crystal from the Alexandria database. Energies are from PBE.

As for the formation energy: -0.170 eV/atom.

a = 4.366 Å, b = 6.214 Å, c = 7.560 Å
α = 114.27°, β = 106.67°, γ = 90.00°
Each line ends with the local moment (μB).
Sites, in units of the cell vectors:
Ta 0.500 0.741 0.000  -0.14
Ta 0.171 0.425 0.342  -0.13
Ta 0.171 0.916 0.342  -0.13
Ta 0.829 0.575 0.658  -0.13
Ta 0.500 0.259 0.000  -0.14
Ta 0.829 0.084 0.658  -0.13
Fe 0.335 0.335 0.669  1.38
Fe 0.665 0.665 0.331  1.38
Fe 0.664 0.164 0.328  1.35
Fe 0.000 0.500 0.000  1.34
Fe 0.336 0.836 0.672  1.35
Rh 0.000 0.000 0.000  0.22

---

No. 6
Here is a relaxed KIn2BiRh crystal from the Alexandria database. Energies are from PBE.

As for the formation energy: -0.131 eV/atom.

a = 5.204 Å, b = 5.204 Å, c = 5.605 Å
α = 90.00°, β = 90.00°, γ = 90.00°
Sites, in units of the cell vectors:
In 0.000 0.500 0.000
In 0.500 0.000 0.000
Bi 0.000 0.000 0.500
K 0.500 0.500 0.500
Rh 0.000 0.000 0.000

---

No. 7
Here is a relaxed Sr3RePd crystal from the Alexandria database. Energies are from PBE.

As for the formation energy: 0.810 eV/atom. The polymorph energy (0 for the lowest one) is 0 meV per atom.

a = 5.763 Å, b = 5.763 Å, c = 5.763 Å
α = 90.00°, β = 90.00°, γ = 90.00°
Each line ends with the local moment (μB).
Sites, in units of the cell vectors:
Sr 0.000 0.500 0.000  -0.01
Sr 0.000 0.000 0.500  -0.01
Sr 0.500 0.000 0.000  -0.01
Pd 0.000 0.000 0.000  0.03
Re 0.500 0.500 0.500  3.19

---

No. 8
Here is a relaxed Ni2RuBr crystal from the Alexandria database. Energies are from PBE.

The polymorph energy (0 for the lowest one) is 318 meV per atom. As for the raw formation energy: 0.802 eV/atom.

a = 4.486 Å, b = 4.486 Å, c = 4.486 Å
α = 127.57°, β = 127.57°, γ = 77.32°
Each line ends with the local moment (μB).
Sites, in units of the cell vectors:
Ni 0.000 0.000 0.000  0.23
Ni 0.250 0.750 0.500  0.37
Ru 0.500 0.500 0.000  0.51
Br 0.750 0.250 0.500  0.01